(1)
Computed, not measured: a relaxed structure of TiAl3Ge at the PBEsol level of DFT. Values from VASP.

Quantum ESPRESSO input file:
```
&SYSTEM
  ibrav = 0, nat = 10, ntyp = 3
/
ATOMIC_SPECIES
Al 26.98 Al.upf
Ti 47.87 Ti.upf
Ge 72.64 Ge.upf
ATOMIC_POSITIONS angstrom
Al 1.9679 1.9679 6.4338
Ti 0.0000 1.9679 2.0765
Al 0.0000 1.9679 8.6191
Al 1.9679 1.9679 0.0649
Ge 0.0000 0.0000 6.6425
Al 1.9679 0.0000 8.6191
Al 0.0000 0.0000 0.0643
Ge 1.9679 1.9679 3.9107
Ti 1.9679 0.0000 2.0765
Al 0.0000 0.0000 4.0802
CELL_PARAMETERS angstrom
3.9358 0.0000 0.0000
0.0000 3.9358 0.0000
0.0000 0.0000 10.6469
```

Calculated values
As for the formation enthalpy at 0 K: -0.167 eV per atom. For the calculated volume, the calculation gives 16.49 Å³ per atom.

***

(2)
Computed, not measured: a relaxed structure of Ti4AlGe7 at the PBEsol level of DFT. Values from VASP.

Quantum ESPRESSO input file:
```
&SYSTEM
  ibrav = 0, nat = 12, ntyp = 3
/
ATOMIC_SPECIES
Ge 72.64 Ge.upf
Ti 47.87 Ti.upf
Al 26.98 Al.upf
ATOMIC_POSITIONS angstrom
Ge 0.0000 0.0000 0.0000
Ge -7.6628 -3.4482 4.4749
Ti -3.9410 -1.7734 2.3014
Ge -2.7654 -1.6278 -0.3314
Ti -10.5136 -2.7661 5.3141
Ge -5.1206 -0.7227 0.2185
Ti -8.8425 -2.3975 2.3919
Ti -2.5304 0.8263 0.6521
Ge -9.7574 -4.7741 3.7518
Al -6.5220 -0.9699 2.9831
Ge -6.2614 -3.2010 1.7102
Ge -1.5098 0.9021 -1.8902
CELL_PARAMETERS angstrom
-1.7703 3.1332 -0.6172
-1.2492 -1.3289 -3.1631
-9.7639 -5.9751 8.4737
```

Calculated values
As for the formation enthalpy at 0 K: -0.530 eV per atom. For the calculated volume, the calculation gives 15.56 Å³ per atom.

***

(3)
Computed, not measured: a relaxed structure of AlTlGe3 at the PBEsol level of DFT. Values from VASP.

Quantum ESPRESSO input file:
```
&SYSTEM
  ibrav = 0, nat = 5, ntyp = 3
/
ATOMIC_SPECIES
Tl 204.38 Tl.upf
Ge 72.64 Ge.upf
Al 26.98 Al.upf
ATOMIC_POSITIONS angstrom
Tl 0.9194 -0.9232 4.0323
Ge 2.2448 0.0012 0.9729
Al 0.0000 0.0000 0.0000
Ge -0.8472 1.2049 1.9535
Ge -0.4782 -2.1293 1.1059
CELL_PARAMETERS angstrom
-1.6945 2.4098 3.9069
-0.9564 -4.2586 2.2119
4.4896 0.0024 1.9457
```

Calculated values
As for the formation enthalpy at 0 K: 0.499 eV per atom. For the calculated volume, the calculation gives 23.43 Å³ per atom.

***

(4)
Computed, not measured: a relaxed structure of Tm2AlGe3 at the PBEsol level of DFT. Values from VASP.

Quantum ESPRESSO input file:
```
&SYSTEM
  ibrav = 0, nat = 24, ntyp = 3
/
ATOMIC_SPECIES
Ge 72.64 Ge.upf
Tm 168.93 Tm.upf
Al 26.98 Al.upf
ATOMIC_POSITIONS angstrom
Ge 8.6689 4.0814 14.8365
Ge 3.5058 -1.8250 3.3639
Tm 7.6817 1.0470 9.0775
Al 0.4472 -2.2340 2.3503
Tm 4.6486 -0.8832 0.8892
Al 9.9909 5.4423 13.1606
Ge 6.7771 1.9810 6.4221
Tm 2.7564 2.1613 6.4334
Ge 6.9323 5.0333 12.1471
Tm 5.4418 0.7588 4.0264
Tm 1.8258 0.5399 3.3234
Ge 7.0402 3.8265 9.8973
Tm 4.9963 2.4496 11.4845
Ge 3.6610 1.2273 9.0888
Ge 6.1470 -2.0404 3.1750
Ge 7.4209 -1.0397 5.1511
Al 5.2285 3.0530 8.3028
Ge 3.3979 -0.6182 5.6136
Tm 8.6123 2.6685 12.1875
Ge 4.2911 5.2487 12.3359
Al 5.2096 0.1553 7.2082
Ge 1.7692 -0.8731 0.6745
Ge 3.0172 4.2480 10.3598
Tm 5.7895 4.0915 14.6217
CELL_PARAMETERS angstrom
-0.1558 -3.5943 1.9206
6.4894 -0.9679 -1.2850
4.1045 7.7705 14.8753
```

Calculated values
As for the formation enthalpy at 0 K: -0.668 eV per atom. For the calculated volume, the calculation gives 19.63 Å³ per atom.

***

(5)
Computed, not measured: a relaxed structure of TmAlGe at the PBEsol level of DFT. Values from VASP.

Quantum ESPRESSO input file:
```
&SYSTEM
  ibrav = 0, nat = 6, ntyp = 3
/
ATOMIC_SPECIES
Ge 72.64 Ge.upf
Al 26.98 Al.upf
Tm 168.93 Tm.upf
ATOMIC_POSITIONS angstrom
Ge 2.0005 1.0915 1.4121
Ge 0.0000 3.9820 4.2362
Al 0.0000 0.0000 0.0000
Tm 0.0000 3.1380 1.4121
Tm 2.0005 1.9356 4.2362
Al 0.0000 0.0000 2.8242
CELL_PARAMETERS angstrom
4.0010 0.0000 0.0000
-2.0005 5.0736 0.0000
0.0000 0.0000 5.6483
```

Calculated values
As for the formation enthalpy at 0 K: -0.684 eV per atom. For the calculated volume, the calculation gives 19.11 Å³ per atom.

***

(6)
Computed, not measured: a relaxed structure of TmAl2Ge2 at the PBEsol level of DFT. Values from VASP.

Quantum ESPRESSO input file:
```
&SYSTEM
  ibrav = 0, nat = 5, ntyp = 3
/
ATOMIC_SPECIES
Ge 72.64 Ge.upf
Al 26.98 Al.upf
Tm 168.93 Tm.upf
ATOMIC_POSITIONS angstrom
Ge 0.0000 2.4366 1.6176
Ge 2.1101 1.2183 4.8133
Al 0.0000 2.4366 4.1704
Al 2.1101 1.2183 2.2605
Tm 0.0000 0.0000 0.0000
CELL_PARAMETERS angstrom
4.2203 0.0000 0.0000
-2.1101 3.6549 0.0000
0.0000 0.0000 6.4309
```

Calculated values
As for the formation enthalpy at 0 K: -0.413 eV per atom. For the calculated volume, the calculation gives 19.84 Å³ per atom.